--- w ---
Computed, not measured: a relaxed structure of Sr8Cd2Ag at the PBE level of DFT.

Values from the calculation:
Its magnetic moment is 0.000 μB/f.u. As for the space-group type: No. 8.

abc: 7.037 9.143 9.143
angles: 114.72 102.31 102.31
Fractional positions:
1 Sr 0.591 0.347 0.093
2 Sr 0.175 0.355 0.355
3 Sr 0.362 0.660 0.915
4 Sr 0.591 0.093 0.347
5 Sr 0.981 0.800 0.200
6 Sr 0.981 0.200 0.800
7 Sr 0.794 0.649 0.649
8 Sr 0.362 0.915 0.660
9 Ag 0.191 0.001 0.001
10 Cd 0.486 0.699 0.315
11 Cd 0.486 0.315 0.699

***

--- x ---
Computed, not measured: a relaxed structure of Sr8Cd2Ag at the PBE level of DFT.

Values from the calculation:
Its magnetic moment is 0.000 μB/f.u. As for the space-group type: No. 12.

abc: 5.800 7.949 10.779
angles: 105.61 105.61 90.00
Fractional positions:
1 Sr 0.406 0.556 0.812
2 Sr 0.661 0.969 0.322
3 Sr 0.029 0.790 0.058
4 Sr 0.971 0.210 0.942
5 Sr 0.339 0.031 0.678
6 Sr 0.594 0.444 0.188
7 Sr 0.208 0.315 0.417
8 Sr 0.792 0.685 0.583
9 Cd 0.185 0.721 0.369
10 Cd 0.815 0.279 0.631
11 Ag 0.500 0.000 0.000

***

Q: Which of them is the least stable? A: w.

***

--- w ---
Computed, not measured: a relaxed structure of SrCd3Ag3 at the PBE level of DFT.

Values from the calculation:
Its magnetic moment is 0.000 μB/f.u. As for the space-group type: No. 148.

abc: 7.556 7.556 7.939
angles: 61.59 61.59 60.00
Fractional positions:
1 Ag 0.844 0.286 0.817
2 Ag 0.286 0.053 0.817
3 Ag 0.156 0.714 0.183
4 Ag 0.947 0.156 0.183
5 Ag 0.053 0.844 0.817
6 Ag 0.714 0.947 0.183
7 Cd 0.420 0.268 0.384
8 Cd 0.268 0.928 0.384
9 Cd 0.072 0.580 0.616
10 Cd 0.732 0.072 0.616
11 Cd 0.580 0.732 0.616
12 Cd 0.928 0.420 0.384
13 Sr 0.349 0.349 0.952
14 Sr 0.651 0.651 0.048

***

--- x ---
Computed, not measured: a relaxed structure of SrCd3Ag3 at the PBE level of DFT.

Values from the calculation:
Its magnetic moment is 0.000 μB/f.u. As for the space-group type: No. 11.

abc: 4.851 8.738 8.746
angles: 119.98 90.00 90.00
Fractional positions:
1 Cd 0.250 0.012 0.236
2 Cd 0.750 0.776 0.012
3 Cd 0.750 0.236 0.225
4 Cd 0.250 0.764 0.775
5 Cd 0.750 0.988 0.764
6 Cd 0.250 0.224 0.988
7 Ag 0.250 0.388 0.451
8 Ag 0.750 0.451 0.062
9 Ag 0.750 0.938 0.389
10 Ag 0.250 0.549 0.938
11 Ag 0.750 0.612 0.549
12 Ag 0.250 0.062 0.611
13 Sr 0.250 0.666 0.333
14 Sr 0.750 0.334 0.667

***

Q: Which of them is the least stable? A: w.

***

--- w ---
Computed, not measured: a relaxed structure of SrCd6Ag at the PBE level of DFT.

Values from the calculation:
Its magnetic moment is 0.000 μB/f.u. As for the space-group type: No. 166.

abc: 4.892 4.892 10.007
angles: 75.85 75.85 60.00
Fractional positions:
1 Cd 0.635 0.635 0.094
2 Cd 0.900 0.900 0.301
3 Cd 0.365 0.365 0.906
4 Cd 0.100 0.100 0.699
5 Cd 0.748 0.748 0.755
6 Cd 0.252 0.252 0.245
7 Ag 0.000 0.000 0.000
8 Sr 0.500 0.500 0.500

***

--- x ---
Computed, not measured: a relaxed structure of SrCd6Ag at the PBE level of DFT.

Values from the calculation:
Its magnetic moment is 0.000 μB/f.u. As for the space-group type: No. 123.

abc: 4.638 4.638 9.728
angles: 90.00 90.00 90.00
Fractional positions:
1 Cd 0.500 0.000 0.671
2 Cd 0.500 0.500 0.857
3 Cd 0.500 0.500 0.143
4 Cd 0.000 0.500 0.329
5 Cd 0.000 0.500 0.671
6 Cd 0.500 0.000 0.329
7 Sr 0.000 0.000 0.000
8 Ag 0.000 0.000 0.500

***

Q: Which of them is the least stable? A: w.